Record 1
# PBE Cs2ScBeO4, optimized geometry
# * E_tot: -382.26 eV for the cell shown
# * E_form (uncorrected): -2.023 eV per atom
# * ρ: 3.63 g/cm3
data_Cs2ScBeO4
_chemical_formula_sum 'Cs16 Sc8 Be8 O32'
_symmetry_space_group_name_H-M 'F d d d'
_symmetry_Int_Tables_number 70
_cell_length_a 4.9174
_cell_length_b 12.3114
_cell_length_c 23.1709
_cell_angle_alpha 90.00
_cell_angle_beta 90.00
_cell_angle_gamma 90.00
loop_
_symmetry_equiv_pos_as_xyz
'x,y,z'
'-x,-y,-z'
'-x+1/4,-y+1/4,z'
'x+1/4,y+1/4,-z'
'x,-y+1/4,-z+1/4'
'-x,y+1/4,z+1/4'
'-x+1/4,y,-z+1/4'
'x+1/4,-y,z+1/4'
'x,y+1/2,z+1/2'
'-x,-y+1/2,-z+1/2'
'-x+1/4,-y+3/4,z+1/2'
'x+1/4,y+3/4,-z+1/2'
'x,-y+3/4,-z+3/4'
'-x,y+3/4,z+3/4'
'-x+1/4,y+1/2,-z+3/4'
'x+1/4,-y+1/2,z+3/4'
'x+1/2,y,z+1/2'
'-x+1/2,-y,-z+1/2'
'-x+3/4,-y+1/4,z+1/2'
'x+3/4,y+1/4,-z+1/2'
'x+1/2,-y+1/4,-z+3/4'
'-x+1/2,y+1/4,z+3/4'
'-x+3/4,y,-z+3/4'
'x+3/4,-y,z+3/4'
'x+1/2,y+1/2,z'
'-x+1/2,-y+1/2,-z'
'-x+3/4,-y+3/4,z'
'x+3/4,y+3/4,-z'
'x+1/2,-y+3/4,-z+1/4'
'-x+1/2,y+3/4,z+1/4'
'-x+3/4,y+1/2,-z+1/4'
'x+3/4,-y+1/2,z+1/4'
loop_
_atom_site_label
_atom_site_fract_x
_atom_site_fract_y
_atom_site_fract_z
_atom_site_occupancy
Cs1 0.1250 0.1250 0.2993 1
Sc1 0.1250 0.1250 0.1250 1
Be1 0.1250 0.1250 0.6250 1
O1 0.0807 0.2963 0.8350 1

Record 2
# PBE Cs2SmBeO4, optimized geometry
# * E_tot: -356.80 eV for the cell shown
# * E_form (uncorrected): -1.827 eV per atom
# * ρ: 4.09 g/cm3
data_Cs2SmBeO4
_chemical_formula_sum 'Cs16 Sm8 Be8 O32'
_symmetry_space_group_name_H-M 'F d d d'
_symmetry_Int_Tables_number 70
_cell_length_a 5.2411
_cell_length_b 12.4285
_cell_length_c 24.3964
_cell_angle_alpha 90.00
_cell_angle_beta 90.00
_cell_angle_gamma 90.00
loop_
_symmetry_equiv_pos_as_xyz
'x,y,z'
'-x,-y,-z'
'-x+1/4,-y+1/4,z'
'x+1/4,y+1/4,-z'
'x,-y+1/4,-z+1/4'
'-x,y+1/4,z+1/4'
'-x+1/4,y,-z+1/4'
'x+1/4,-y,z+1/4'
'x,y+1/2,z+1/2'
'-x,-y+1/2,-z+1/2'
'-x+1/4,-y+3/4,z+1/2'
'x+1/4,y+3/4,-z+1/2'
'x,-y+3/4,-z+3/4'
'-x,y+3/4,z+3/4'
'-x+1/4,y+1/2,-z+3/4'
'x+1/4,-y+1/2,z+3/4'
'x+1/2,y,z+1/2'
'-x+1/2,-y,-z+1/2'
'-x+3/4,-y+1/4,z+1/2'
'x+3/4,y+1/4,-z+1/2'
'x+1/2,-y+1/4,-z+3/4'
'-x+1/2,y+1/4,z+3/4'
'-x+3/4,y,-z+3/4'
'x+3/4,-y,z+3/4'
'x+1/2,y+1/2,z'
'-x+1/2,-y+1/2,-z'
'-x+3/4,-y+3/4,z'
'x+3/4,y+3/4,-z'
'x+1/2,-y+3/4,-z+1/4'
'-x+1/2,y+3/4,z+1/4'
'-x+3/4,y+1/2,-z+1/4'
'x+3/4,-y+1/2,z+1/4'
loop_
_atom_site_label
_atom_site_fract_x
_atom_site_fract_y
_atom_site_fract_z
_atom_site_occupancy
Cs1 0.1250 0.1250 0.3028 1
Sm1 0.1250 0.1250 0.1250 1
Be1 0.1250 0.1250 0.6250 1
O1 0.0563 0.2928 0.8359 1

Record 3
# PBE CsSmBeO3, optimized geometry
# * E_tot: -79.02 eV for the cell shown
# * E_form (uncorrected): -2.556 eV per atom
# * ρ: 5.13 g/cm3
data_CsSmBeO3
_chemical_formula_sum 'Cs2 Sm2 Be2 O6'
_symmetry_space_group_name_H-M 'P 1 21/m 1'
_symmetry_Int_Tables_number 11
_symmetry_space_group_name_Hall '-P 2yb'
_cell_length_a 7.9729
_cell_length_b 3.5519
_cell_length_c 8.3331
_cell_angle_alpha 90.00
_cell_angle_beta 111.03
_cell_angle_gamma 90.00
loop_
_atom_site_label
_atom_site_fract_x
_atom_site_fract_y
_atom_site_fract_z
_atom_site_occupancy
Cs1 0.2344 0.2500 0.2032 1
Sm1 0.1656 0.2500 0.6625 1
Be1 0.3945 0.7500 0.9408 1
O1 0.1448 0.7500 0.4729 1
O2 0.1873 0.7500 0.8592 1
O3 0.4643 0.2500 0.8727 1

Record 4
# PBE CsSm2Be2O6, optimized geometry
# * E_tot: -151.13 eV for the cell shown
# * E_form (uncorrected): -2.552 eV per atom
# * ρ: 4.81 g/cm3
data_CsSm2Be2O6
_chemical_formula_sum 'Cs2 Sm4 Be4 O12'
_symmetry_space_group_name_H-M 'C 1 2/m 1'
_symmetry_Int_Tables_number 12
_symmetry_space_group_name_Hall '-C 2y'
_cell_length_a 11.0460
_cell_length_b 6.2518
_cell_length_c 6.3202
_cell_angle_alpha 90.00
_cell_angle_beta 119.87
_cell_angle_gamma 90.00
loop_
_atom_site_label
_atom_site_fract_x
_atom_site_fract_y
_atom_site_fract_z
_atom_site_occupancy
Cs1 0.0000 0.0000 0.0000 1
Sm1 0.1762 0.5000 0.3025 1
Be1 0.1474 0.5000 0.7341 1
O1 0.0669 0.5000 0.8716 1
O2 0.1957 0.2974 0.6530 1

Record 5
# PBE CsBe2SnO, optimized geometry
# * E_tot: -12.70 eV for the cell shown
# * E_form (uncorrected): 0.914 eV per atom
# * ρ: 4.34 g/cm3
data_CsBe2SnO
_chemical_formula_sum 'Cs1 Be2 Sn1 O1'
_symmetry_space_group_name_H-M 'P 4/m m m'
_symmetry_Int_Tables_number 123
_symmetry_space_group_name_Hall '-P 4 2'
_cell_length_a 4.5246
_cell_length_b 4.5246
_cell_length_c 5.3332
_cell_angle_alpha 90.00
_cell_angle_beta 90.00
_cell_angle_gamma 90.00
loop_
_atom_site_label
_atom_site_fract_x
_atom_site_fract_y
_atom_site_fract_z
_atom_site_occupancy
Cs1 0.0000 0.0000 0.0000 1
Be1 0.0000 0.5000 0.5000 1
Sn1 0.5000 0.5000 0.0000 1
O1 0.5000 0.5000 0.5000 1

Record 6
# PBE Cs2BeSnO4, optimized geometry
# * E_tot: -342.46 eV for the cell shown
# * E_form (uncorrected): -1.692 eV per atom
# * ρ: 4.24 g/cm3
data_Cs2BeSnO4
_chemical_formula_sum 'Cs16 Be8 Sn8 O32'
_symmetry_space_group_name_H-M 'F d d d'
_symmetry_Int_Tables_number 70
_cell_length_a 5.0354
_cell_length_b 12.4212
_cell_length_c 22.9265
_cell_angle_alpha 90.00
_cell_angle_beta 90.00
_cell_angle_gamma 90.00
loop_
_symmetry_equiv_pos_as_xyz
'x,y,z'
'-x,-y,-z'
'-x+1/4,-y+1/4,z'
'x+1/4,y+1/4,-z'
'x,-y+1/4,-z+1/4'
'-x,y+1/4,z+1/4'
'-x+1/4,y,-z+1/4'
'x+1/4,-y,z+1/4'
'x,y+1/2,z+1/2'
'-x,-y+1/2,-z+1/2'
'-x+1/4,-y+3/4,z+1/2'
'x+1/4,y+3/4,-z+1/2'
'x,-y+3/4,-z+3/4'
'-x,y+3/4,z+3/4'
'-x+1/4,y+1/2,-z+3/4'
'x+1/4,-y+1/2,z+3/4'
'x+1/2,y,z+1/2'
'-x+1/2,-y,-z+1/2'
'-x+3/4,-y+1/4,z+1/2'
'x+3/4,y+1/4,-z+1/2'
'x+1/2,-y+1/4,-z+3/4'
'-x+1/2,y+1/4,z+3/4'
'-x+3/4,y,-z+3/4'
'x+3/4,-y,z+3/4'
'x+1/2,y+1/2,z'
'-x+1/2,-y+1/2,-z'
'-x+3/4,-y+3/4,z'
'x+3/4,y+3/4,-z'
'x+1/2,-y+3/4,-z+1/4'
'-x+1/2,y+3/4,z+1/4'
'-x+3/4,y+1/2,-z+1/4'
'x+3/4,-y+1/2,z+1/4'
loop_
_atom_site_label
_atom_site_fract_x
_atom_site_fract_y
_atom_site_fract_z
_atom_site_occupancy
Cs1 0.1250 0.1250 0.3002 1
Be1 0.1250 0.1250 0.6250 1
Sn1 0.1250 0.1250 0.1250 1
O1 0.0854 0.2963 0.8349 1

Record 7
# PBE Cs2TbBeO4, optimized geometry
# * E_tot: -359.81 eV for the cell shown
# * E_form (uncorrected): -1.885 eV per atom
# * ρ: 4.28 g/cm3
data_Cs2TbBeO4
_chemical_formula_sum 'Cs16 Tb8 Be8 O32'
_symmetry_space_group_name_H-M 'F d d d'
_symmetry_Int_Tables_number 70
_cell_length_a 5.1613
_cell_length_b 12.4122
_cell_length_c 24.1033
_cell_angle_alpha 90.00
_cell_angle_beta 90.00
_cell_angle_gamma 90.00
loop_
_symmetry_equiv_pos_as_xyz
'x,y,z'
'-x,-y,-z'
'-x+1/4,-y+1/4,z'
'x+1/4,y+1/4,-z'
'x,-y+1/4,-z+1/4'
'-x,y+1/4,z+1/4'
'-x+1/4,y,-z+1/4'
'x+1/4,-y,z+1/4'
'x,y+1/2,z+1/2'
'-x,-y+1/2,-z+1/2'
'-x+1/4,-y+3/4,z+1/2'
'x+1/4,y+3/4,-z+1/2'
'x,-y+3/4,-z+3/4'
'-x,y+3/4,z+3/4'
'-x+1/4,y+1/2,-z+3/4'
'x+1/4,-y+1/2,z+3/4'
'x+1/2,y,z+1/2'
'-x+1/2,-y,-z+1/2'
'-x+3/4,-y+1/4,z+1/2'
'x+3/4,y+1/4,-z+1/2'
'x+1/2,-y+1/4,-z+3/4'
'-x+1/2,y+1/4,z+3/4'
'-x+3/4,y,-z+3/4'
'x+3/4,-y,z+3/4'
'x+1/2,y+1/2,z'
'-x+1/2,-y+1/2,-z'
'-x+3/4,-y+3/4,z'
'x+3/4,y+3/4,-z'
'x+1/2,-y+3/4,-z+1/4'
'-x+1/2,y+3/4,z+1/4'
'-x+3/4,y+1/2,-z+1/4'
'x+3/4,-y+1/2,z+1/4'
loop_
_atom_site_label
_atom_site_fract_x
_atom_site_fract_y
_atom_site_fract_z
_atom_site_occupancy
Cs1 0.1250 0.1250 0.3016 1
Tb1 0.1250 0.1250 0.1250 1
Be1 0.1250 0.1250 0.6250 1
O1 0.0616 0.2937 0.8356 1

Record 8
# PBE CsTbBeO3, optimized geometry
# * E_tot: -79.59 eV for the cell shown
# * E_form (uncorrected): -2.618 eV per atom
# * ρ: 5.47 g/cm3
data_CsTbBeO3
_chemical_formula_sum 'Cs2 Tb2 Be2 O6'
_symmetry_space_group_name_H-M 'P 1 21/m 1'
_symmetry_Int_Tables_number 11
_symmetry_space_group_name_Hall '-P 2yb'
_cell_length_a 7.9622
_cell_length_b 3.4814
_cell_length_c 8.2515
_cell_angle_alpha 90.00
_cell_angle_beta 112.07
_cell_angle_gamma 90.00
loop_
_atom_site_label
_atom_site_fract_x
_atom_site_fract_y
_atom_site_fract_z
_atom_site_occupancy
Cs1 0.2394 0.2500 0.2097 1
Tb1 0.1608 0.2500 0.6643 1
Be1 0.3940 0.7500 0.9386 1
O1 0.1448 0.7500 0.4779 1
O2 0.1838 0.7500 0.8585 1
O3 0.4600 0.2500 0.8703 1

| no. | Fermi-level density of states (states/eV/f.u.) | calculated volume (Å³ per cell) |
| --- | --- | --- |
| 1 | 8.019 | 1402.8 |
| 2 | 5.902 | 1589.2 |
| 3 | 0.000 | 220.3 |
| 4 | 5.358 | 378.5 |
| 5 | 5.476 | 109.2 |
| 6 | 0.000 | 1434.0 |
| 7 | 5.855 | 1544.1 |
| 8 | 0.000 | 212.0 |